--- A ---
Here is a relaxed VFe3H crystal from Alexandria. Energies are from GGA-PBE.

Computed properties:
**DOS(E_F)**: 5.8 states/eV/cell
**SG**: C2/m, No. 12
**ρ**: 7.4 Mg/m³

a b c (Å): 8.5566 8.5566 4.1236
angles (deg): 99.87 99.87 19.33
Positions (direct):
V  0.0630  0.0630  0.2924
V  0.9370  0.9370  0.7076
Fe  0.1811  0.1811  0.8678
Fe  0.3185  0.3185  0.6338
Fe  0.4419  0.4419  0.2110
Fe  0.5581  0.5581  0.7890
Fe  0.6815  0.6815  0.3662
Fe  0.8189  0.8189  0.1322
H  0.2516  0.2516  0.2517
H  0.7484  0.7484  0.7483

=====

--- B ---
Here is a relaxed VFe3H crystal from Alexandria. Energies are from GGA-PBE.

Computed properties:
**DOS(E_F)**: 4.5 states/eV/cell
**SG**: Pm-3m, No. 221
**ρ**: 4.6 Mg/m³

a b c (Å): 4.2798 4.2798 4.2798
angles (deg): 90.00 90.00 90.00
Positions (direct):
V  0.0000  0.0000  0.0000
Fe  0.0000  0.0000  0.5000
Fe  0.0000  0.5000  0.0000
Fe  0.5000  0.0000  0.0000
H  0.5000  0.5000  0.5000

=====

--- C ---
Here is a relaxed VFe3H crystal from Alexandria. Energies are from GGA-PBE.

Computed properties:
**DOS(E_F)**: 4.0 states/eV/cell
**SG**: Pm-3m, No. 221
**ρ**: 7.6 Mg/m³

a b c (Å): 3.6318 3.6318 3.6318
angles (deg): 90.00 90.00 90.00
Positions (direct):
V  0.0000  0.0000  0.0000
Fe  0.0000  0.5000  0.5000
Fe  0.5000  0.0000  0.5000
Fe  0.5000  0.5000  0.0000
H  0.5000  0.5000  0.5000

=====

Result of the stability comparison: B is the least stable of them.

=====

--- A ---
Here is a relaxed VFe2H2 crystal from Alexandria. Energies are from GGA-PBE.

Computed properties:
**DOS(E_F)**: 7.6 states/eV/cell
**SG**: I4/mmm, No. 139
**ρ**: 6.8 Mg/m³

a b c (Å): 3.1037 3.1037 8.3703
angles (deg): 90.00 90.00 90.00
Positions (direct):
V  0.0000  0.0000  0.0000
V  0.5000  0.5000  0.5000
Fe  0.0000  0.0000  0.3462
Fe  0.0000  0.0000  0.6538
Fe  0.5000  0.5000  0.1538
Fe  0.5000  0.5000  0.8462
H  0.0000  0.5000  0.2500
H  0.0000  0.5000  0.7500
H  0.5000  0.0000  0.2500
H  0.5000  0.0000  0.7500

=====

--- B ---
Here is a relaxed VFe2H2 crystal from Alexandria. Energies are from GGA-PBE.

Computed properties:
**DOS(E_F)**: 6.7 states/eV/cell
**SG**: P4/mbm, No. 127
**ρ**: 6.8 Mg/m³

a b c (Å): 5.3946 5.3946 2.7824
angles (deg): 90.00 90.00 90.00
Positions (direct):
V  0.0000  0.0000  0.0000
V  0.5000  0.5000  0.0000
Fe  0.1526  0.3474  0.5000
Fe  0.3474  0.8474  0.5000
Fe  0.6526  0.1526  0.5000
Fe  0.8474  0.6526  0.5000
H  0.2079  0.7079  0.0000
H  0.2921  0.2079  0.0000
H  0.7079  0.7921  0.0000
H  0.7921  0.2921  0.0000

=====

Result of the stability comparison: B is the least stable of them.

=====

--- A ---
Here is a relaxed V2FeH2 crystal from Alexandria. Energies are from GGA-PBE.

Computed properties:
**DOS(E_F)**: 9.8 states/eV/cell
**SG**: P4/mbm, No. 127
**ρ**: 6.4 Mg/m³

a b c (Å): 5.5474 5.5474 2.6806
angles (deg): 90.00 90.00 90.00
Positions (direct):
V  0.1607  0.3393  0.0000
V  0.3393  0.8393  0.0000
V  0.6607  0.1607  0.0000
V  0.8393  0.6607  0.0000
Fe  0.0000  0.0000  0.5000
Fe  0.5000  0.5000  0.5000
H  0.1426  0.6426  0.5000
H  0.3574  0.1426  0.5000
H  0.6426  0.8574  0.5000
H  0.8574  0.3574  0.5000

=====

--- B ---
Here is a relaxed V2FeH2 crystal from Alexandria. Energies are from GGA-PBE.

Computed properties:
**DOS(E_F)**: 8.8 states/eV/cell
**SG**: P-1, No. 2
**ρ**: 6.5 Mg/m³

a b c (Å): 4.6196 4.6520 4.6565
angles (deg): 119.79 99.99 100.13
Positions (direct):
V  0.2490  0.2480  0.2535
V  0.2514  0.5977  0.9053
V  0.7486  0.4023  0.0947
V  0.7510  0.7520  0.7465
Fe  0.2497  0.9206  0.5793
Fe  0.7503  0.0794  0.4207
H  0.0047  0.1659  0.8214
H  0.4958  0.6788  0.3352
H  0.5042  0.3212  0.6648
H  0.9953  0.8341  0.1786

=====

Result of the stability comparison: A is the least stable of them.

=====

--- A ---
Here is a relaxed Fe2H2W crystal from Alexandria. Energies are from GGA-PBE.

Computed properties:
**DOS(E_F)**: 7.3 states/eV/cell
**SG**: I4/mmm, No. 139
**ρ**: 11.4 Mg/m³

a b c (Å): 2.7211 2.7211 11.7447
angles (deg): 90.00 90.00 90.00
Positions (direct):
Fe  0.0000  0.0000  0.1599
Fe  0.0000  0.0000  0.8401
Fe  0.5000  0.5000  0.3401
Fe  0.5000  0.5000  0.6599
H  0.0000  0.5000  0.2500
H  0.0000  0.5000  0.7500
H  0.5000  0.0000  0.2500
H  0.5000  0.0000  0.7500
W  0.0000  0.0000  0.5000
W  0.5000  0.5000  0.0000

=====

--- B ---
Here is a relaxed Fe2H2W crystal from Alexandria. Energies are from GGA-PBE.

Computed properties:
**DOS(E_F)**: 7.3 states/eV/cell
**SG**: P4/mbm, No. 127
**ρ**: 11.1 Mg/m³

a b c (Å): 5.7231 5.7231 2.7285
angles (deg): 90.00 90.00 90.00
Positions (direct):
Fe  0.1393  0.3607  0.0000
Fe  0.3607  0.8607  0.0000
Fe  0.6393  0.1393  0.0000
Fe  0.8607  0.6393  0.0000
H  0.2333  0.7333  0.5000
H  0.2667  0.2333  0.5000
H  0.7333  0.7667  0.5000
H  0.7667  0.2667  0.5000
W  0.0000  0.0000  0.5000
W  0.5000  0.5000  0.5000

=====

Result of the stability comparison: B is the least stable of them.

=====

--- A ---
Here is a relaxed FeHW3 crystal from Alexandria. Energies are from GGA-PBE.

Computed properties:
**DOS(E_F)**: 5.3 states/eV/cell
**SG**: Pm-3m, No. 221
**ρ**: 16.3 Mg/m³

a b c (Å): 3.9595 3.9595 3.9595
angles (deg): 90.00 90.00 90.00
Positions (direct):
Fe  0.0000  0.0000  0.0000
H  0.5000  0.5000  0.5000
W  0.0000  0.5000  0.5000
W  0.5000  0.0000  0.5000
W  0.5000  0.5000  0.0000

=====

--- B ---
Here is a relaxed FeHW3 crystal from Alexandria. Energies are from GGA-PBE.

Computed properties:
**DOS(E_F)**: 5.1 states/eV/cell
**SG**: Pm-3m, No. 221
**ρ**: 11.4 Mg/m³

a b c (Å): 4.4599 4.4599 4.4599
angles (deg): 90.00 90.00 90.00
Positions (direct):
Fe  0.0000  0.0000  0.0000
H  0.5000  0.5000  0.5000
W  0.0000  0.0000  0.5000
W  0.0000  0.5000  0.0000
W  0.5000  0.0000  0.0000

=====

Result of the stability comparison: B is the least stable of them.

=====

--- A ---
Here is a relaxed YFeH2 crystal from Alexandria. Energies are from GGA-PBE.

Computed properties:
**DOS(E_F)**: 5.0 states/eV/cell
**SG**: I-42d, No. 122
**ρ**: 5.5 Mg/m³

a b c (Å): 4.2249 4.2249 9.9663
angles (deg): 90.00 90.00 90.00
Positions (direct):
Y  0.0000  0.0000  0.0000
Y  0.0000  0.5000  0.2500
Y  0.5000  0.0000  0.7500
Y  0.5000  0.5000  0.5000
Fe  0.0000  0.0000  0.5000
Fe  0.0000  0.5000  0.7500
Fe  0.5000  0.0000  0.2500
Fe  0.5000  0.5000  0.0000
H  0.1258  0.2500  0.6250
H  0.2500  0.6258  0.8750
H  0.2500  0.8742  0.3750
H  0.3742  0.2500  0.1250
H  0.6258  0.7500  0.1250
H  0.7500  0.1258  0.3750
H  0.7500  0.3742  0.8750
H  0.8742  0.7500  0.6250

=====

--- B ---
Here is a relaxed YFeH2 crystal from Alexandria. Energies are from GGA-PBE.

Computed properties:
**DOS(E_F)**: 21.1 states/eV/cell
**SG**: Fm-3m, No. 225
**ρ**: 5.7 Mg/m³

a b c (Å): 5.5348 5.5348 5.5348
angles (deg): 90.00 90.00 90.00
Positions (direct):
Y  0.0000  0.0000  0.0000
Y  0.0000  0.5000  0.5000
Y  0.5000  0.0000  0.5000
Y  0.5000  0.5000  0.0000
Fe  0.0000  0.0000  0.5000
Fe  0.0000  0.5000  0.0000
Fe  0.5000  0.0000  0.0000
Fe  0.5000  0.5000  0.5000
H  0.2500  0.2500  0.2500
H  0.2500  0.2500  0.7500
H  0.2500  0.7500  0.2500
H  0.2500  0.7500  0.7500
H  0.7500  0.2500  0.2500
H  0.7500  0.2500  0.7500
H  0.7500  0.7500  0.2500
H  0.7500  0.7500  0.7500

=====

Result of the stability comparison: B is the least stable of them.

=====

--- A ---
Here is a relaxed ZnFe2H crystal from Alexandria. Energies are from GGA-PBE.

Computed properties:
**DOS(E_F)**: 7.4 states/eV/cell
**SG**: I4_1/amd, No. 141
**ρ**: 6.4 Mg/m³

a b c (Å): 5.0818 5.0818 7.1660
angles (deg): 90.00 90.00 90.00
Positions (direct):
Zn  0.0000  0.2500  0.3750
Zn  0.0000  0.7500  0.6250
Zn  0.5000  0.2500  0.1250
Zn  0.5000  0.7500  0.8750
Fe  0.0000  0.0000  0.0000
Fe  0.0000  0.5000  0.0000
Fe  0.2500  0.2500  0.7500
Fe  0.2500  0.7500  0.2500
Fe  0.5000  0.0000  0.5000
Fe  0.5000  0.5000  0.5000
Fe  0.7500  0.2500  0.7500
Fe  0.7500  0.7500  0.2500
H  0.0000  0.2500  0.8750
H  0.0000  0.7500  0.1250
H  0.5000  0.2500  0.6250
H  0.5000  0.7500  0.3750

=====

--- B ---
Here is a relaxed ZnFe2H crystal from Alexandria. Energies are from GGA-PBE.

Computed properties:
**DOS(E_F)**: 8.5 states/eV/cell
**SG**: R-3m, No. 166
**ρ**: 7.7 Mg/m³

a b c (Å): 2.6234 2.6234 19.4426
angles (deg): 90.00 90.00 120.00
Positions (direct):
Zn  0.0000  0.0000  0.0000
Zn  0.3333  0.6667  0.6667
Zn  0.6667  0.3333  0.3333
Fe  0.0000  0.0000  0.2236
Fe  0.0000  0.0000  0.7764
Fe  0.3333  0.6667  0.4430
Fe  0.3333  0.6667  0.8903
Fe  0.6667  0.3333  0.1097
Fe  0.6667  0.3333  0.5570
H  0.0000  0.0000  0.5000
H  0.3333  0.6667  0.1667
H  0.6667  0.3333  0.8333

=====

--- C ---
Here is a relaxed ZnFe2H crystal from Alexandria. Energies are from GGA-PBE.

Computed properties:
**DOS(E_F)**: 10.9 states/eV/cell
**SG**: Fm-3m, No. 225
**ρ**: 6.9 Mg/m³

a b c (Å): 5.5587 5.5587 5.5587
angles (deg): 90.00 90.00 90.00
Positions (direct):
Zn  0.0000  0.0000  0.0000
Zn  0.0000  0.5000  0.5000
Zn  0.5000  0.0000  0.5000
Zn  0.5000  0.5000  0.0000
Fe  0.2500  0.2500  0.2500
Fe  0.2500  0.2500  0.7500
Fe  0.2500  0.7500  0.2500
Fe  0.2500  0.7500  0.7500
Fe  0.7500  0.2500  0.2500
Fe  0.7500  0.2500  0.7500
Fe  0.7500  0.7500  0.2500
Fe  0.7500  0.7500  0.7500
H  0.0000  0.0000  0.5000
H  0.0000  0.5000  0.0000
H  0.5000  0.0000  0.0000
H  0.5000  0.5000  0.5000

=====

Result of the stability comparison: C is the least stable of them.

=====

--- A ---
Here is a relaxed ZnFe3H crystal from Alexandria. Energies are from GGA-PBE.

Computed properties:
**DOS(E_F)**: 6.4 states/eV/cell
**SG**: Cmcm, No. 63
**ρ**: 5.5 Mg/m³

a b c (Å): 6.7237 6.7237 4.5957
angles (deg): 90.00 90.00 137.63
Positions (direct):
Zn  0.1752  0.8248  0.7500
Zn  0.8248  0.1752  0.2500
Fe  0.0000  0.0000  0.0000
Fe  0.0000  0.0000  0.5000
Fe  0.0859  0.3933  0.7500
Fe  0.3933  0.0859  0.2500
Fe  0.6067  0.9141  0.7500
Fe  0.9141  0.6067  0.2500
H  0.4377  0.5623  0.7500
H  0.5623  0.4377  0.2500

=====

--- B ---
Here is a relaxed ZnFe3H crystal from Alexandria. Energies are from GGA-PBE.

Computed properties:
**DOS(E_F)**: 9.2 states/eV/cell
**SG**: I-4m2, No. 119
**ρ**: 5.1 Mg/m³

a b c (Å): 9.5540 9.5540 9.5540
angles (deg): 155.17 155.17 35.40
Positions (direct):
Zn  0.0000  0.0000  0.0000
Zn  0.7500  0.2500  0.5000
Fe  0.3433  0.3433  0.0000
Fe  0.3720  0.1262  0.2458
Fe  0.6567  0.6567  0.0000
Fe  0.8738  0.1197  0.2458
Fe  0.8738  0.6280  0.7542
Fe  0.8803  0.1262  0.7542
H  0.1361  0.6361  0.5000
H  0.3639  0.8639  0.5000

=====

--- C ---
Here is a relaxed ZnFe3H crystal from Alexandria. Energies are from GGA-PBE.

Computed properties:
**DOS(E_F)**: 2.8 states/eV/cell
**SG**: P4mm, No. 99
**ρ**: 5.4 Mg/m³

a b c (Å): 3.3680 3.3680 6.3231
angles (deg): 90.00 90.00 90.00
Positions (direct):
Zn  0.0000  0.0000  0.0000
Fe  0.0000  0.0000  0.6058
Fe  0.0000  0.5000  0.3221
Fe  0.5000  0.0000  0.3221
H  0.5000  0.5000  0.2313

=====

Result of the stability comparison: B is the least stable of them.

=====

--- A ---
Here is a relaxed Zr2FeH crystal from Alexandria. Energies are from GGA-PBE.

Computed properties:
**DOS(E_F)**: 12.2 states/eV/cell
**SG**: Fm-3m, No. 225
**ρ**: 6.7 Mg/m³

a b c (Å): 6.1925 6.1925 6.1925
angles (deg): 90.00 90.00 90.00
Positions (direct):
Zr  0.2500  0.2500  0.2500
Zr  0.2500  0.2500  0.7500
Zr  0.2500  0.7500  0.2500
Zr  0.2500  0.7500  0.7500
Zr  0.7500  0.2500  0.2500
Zr  0.7500  0.2500  0.7500
Zr  0.7500  0.7500  0.2500
Zr  0.7500  0.7500  0.7500
Fe  0.0000  0.0000  0.0000
Fe  0.0000  0.5000  0.5000
Fe  0.5000  0.0000  0.5000
Fe  0.5000  0.5000  0.0000
H  0.0000  0.0000  0.5000
H  0.0000  0.5000  0.0000
H  0.5000  0.0000  0.0000
H  0.5000  0.5000  0.5000

=====

--- B ---
Here is a relaxed Zr2FeH crystal from Alexandria. Energies are from GGA-PBE.

Computed properties:
**DOS(E_F)**: 12.0 states/eV/cell
**SG**: R-3m, No. 166
**ρ**: 6.6 Mg/m³

a b c (Å): 3.3253 3.3253 18.7322
angles (deg): 90.00 90.00 120.00
Positions (direct):
Zr  0.0000  0.0000  0.2419
Zr  0.0000  0.0000  0.7581
Zr  0.3333  0.6667  0.4247
Zr  0.3333  0.6667  0.9086
Zr  0.6667  0.3333  0.0914
Zr  0.6667  0.3333  0.5753
Fe  0.0000  0.0000  0.0000
Fe  0.3333  0.6667  0.6667
Fe  0.6667  0.3333  0.3333
H  0.0000  0.0000  0.5000
H  0.3333  0.6667  0.1667
H  0.6667  0.3333  0.8333

=====

Result of the stability comparison: A is the least stable of them.

=====

--- A ---
Here is a relaxed ZrFe3H crystal from Alexandria. Energies are from GGA-PBE.

Computed properties:
**DOS(E_F)**: 4.1 states/eV/cell
**SG**: Pm-3m, No. 221
**ρ**: 7.6 Mg/m³

a b c (Å): 3.8354 3.8354 3.8354
angles (deg): 90.00 90.00 90.00
Positions (direct):
Zr  0.0000  0.0000  0.0000
Fe  0.0000  0.5000  0.5000
Fe  0.5000  0.0000  0.5000
Fe  0.5000  0.5000  0.0000
H  0.5000  0.5000  0.5000

=====

--- B ---
Here is a relaxed ZrFe3H crystal from Alexandria. Energies are from GGA-PBE.

Computed properties:
**DOS(E_F)**: 6.7 states/eV/cell
**SG**: Pm-3m, No. 221
**ρ**: 4.3 Mg/m³

a b c (Å): 4.6621 4.6621 4.6621
angles (deg): 90.00 90.00 90.00
Positions (direct):
Zr  0.0000  0.0000  0.0000
Fe  0.0000  0.0000  0.5000
Fe  0.0000  0.5000  0.0000
Fe  0.5000  0.0000  0.0000
H  0.5000  0.5000  0.5000

=====

Result of the stability comparison: B is the least stable of them.

=====

--- A ---
Here is a relaxed Hf4Fe crystal from Alexandria. Energies are from GGA-PBE.

Computed properties:
**DOS(E_F)**: 8.4 states/eV/cell
**SG**: Pm-3m, No. 221
**ρ**: 11.7 Mg/m³

a b c (Å): 4.7836 4.7836 4.7836
angles (deg): 90.00 90.00 90.00
Positions (direct):
Hf  0.0000  0.0000  0.0000
Hf  0.0000  0.5000  0.5000
Hf  0.5000  0.0000  0.5000
Hf  0.5000  0.5000  0.0000
Fe  0.5000  0.5000  0.5000

=====

--- B ---
Here is a relaxed Hf4Fe crystal from Alexandria. Energies are from GGA-PBE.

Computed properties:
**DOS(E_F)**: 10.6 states/eV/cell
**SG**: C2/c, No. 15
**ρ**: 12.6 Mg/m³

a b c (Å): 8.1106 8.1106 5.3164
angles (deg): 102.74 102.74 134.90
Positions (direct):
Hf  0.0795  0.4708  0.7722
Hf  0.1312  0.2839  0.1747
Hf  0.2839  0.1312  0.6747
Hf  0.4708  0.0795  0.2722
Hf  0.5292  0.9205  0.7278
Hf  0.7161  0.8688  0.3253
Hf  0.8688  0.7161  0.8253
Hf  0.9205  0.5292  0.2278
Fe  0.4438  0.5562  0.7500
Fe  0.5562  0.4438  0.2500

=====

--- C ---
Here is a relaxed Hf4Fe crystal from Alexandria. Energies are from GGA-PBE.

Computed properties:
**DOS(E_F)**: 9.8 states/eV/cell
**SG**: I4/m, No. 87
**ρ**: 13.1 Mg/m³

a b c (Å): 7.7761 7.7761 3.2398
angles (deg): 90.00 90.00 90.00
Positions (direct):
Hf  0.0824  0.2701  0.0000
Hf  0.2299  0.5824  0.5000
Hf  0.2701  0.9176  0.0000
Hf  0.4176  0.2299  0.5000
Hf  0.5824  0.7701  0.5000
Hf  0.7299  0.0824  0.0000
Hf  0.7701  0.4176  0.5000
Hf  0.9176  0.7299  0.0000
Fe  0.0000  0.0000  0.5000
Fe  0.5000  0.5000  0.0000

=====

Result of the stability comparison: A is the least stable of them.